A relaxed structure of Y4Sb2Se, computed with PBE-GGA.

Output
Its density is 5.51 g/cm³. The density of states at the Fermi level is 12.4 states/eV per cell. The energy relative to the elements, uncorrected is -1.0110 eV per atom.

```
Y4Sb2Se
1.0
7.5822 0.0000 0.0000
0.0000 6.5668 0.0000
-3.5758 0.0000 8.2025
Y Sb Se
8 4 2
Direct
0.1484 0.2500 0.0924
0.1761 0.7500 0.3606
0.2933 0.0026 0.7733
0.2933 0.4974 0.7733
0.7067 0.5026 0.2267
0.7067 0.9974 0.2267
0.8239 0.2500 0.6394
0.8516 0.7500 0.9076
0.0874 0.2500 0.4333
0.3042 0.7500 0.0738
0.6958 0.2500 0.9262
0.9126 0.7500 0.5667
0.4970 0.7500 0.6410
0.5030 0.2500 0.3590
```